(1)
# PBE RePb2Cl, optimized geometry
data_RePb2Cl
_chemical_formula_sum 'Re1 Pb2 Cl1'
_space_group_name_H-M_alt 'P 1'
_space_group_IT_number 1
_space_group_name_Hall 'P 1'
_cell_length_a 3.229
_cell_length_b 3.229
_cell_length_c 11.609
_cell_angle_alpha 90.00
_cell_angle_beta 90.00
_cell_angle_gamma 122.27
loop_
_atom_site_label
_atom_site_fract_x
_atom_site_fract_y
_atom_site_fract_z
Cl1 0.500 0.500 0.677
Pb1 0.000 0.000 0.995
Pb2 0.500 0.500 0.305
Re1 0.000 0.000 0.523
# * total magnetization: 0.0 μB/cell
# * E_form (uncorrected): 2.29 eV per formula unit
# * ΔE to the lowest computed polymorph: 126.3 meV per atom

=====

(2)
# PBE Li3TePb, optimized geometry
data_Li3TePb
_chemical_formula_sum 'Li3 Te1 Pb1'
_space_group_name_H-M_alt 'P 1'
_space_group_IT_number 1
_space_group_name_Hall 'P 1'
_cell_length_a 5.165
_cell_length_b 5.165
_cell_length_c 5.165
_cell_angle_alpha 90.00
_cell_angle_beta 90.00
_cell_angle_gamma 90.00
loop_
_atom_site_label
_atom_site_fract_x
_atom_site_fract_y
_atom_site_fract_z
Pb1 0.500 0.500 0.500
Te1 0.000 0.000 0.000
Li1 0.000 0.500 0.000
Li2 0.000 0.000 0.500
Li3 0.500 0.000 0.000
# * total magnetization: 0.0 μB/cell
# * E_form (uncorrected): -1.56 eV per formula unit
# * ΔE to the lowest computed polymorph: 0.0 meV per atom

=====

(3)
# PBE LiBeB2O4, optimized geometry
data_LiBeB2O4
_chemical_formula_sum 'Li1 Be1 B2 O4'
_space_group_name_H-M_alt 'P 1'
_space_group_IT_number 1
_space_group_name_Hall 'P 1'
_cell_length_a 4.472
_cell_length_b 4.931
_cell_length_c 4.931
_cell_angle_alpha 64.01
_cell_angle_beta 63.04
_cell_angle_gamma 63.04
loop_
_atom_site_label
_atom_site_fract_x
_atom_site_fract_y
_atom_site_fract_z
Li1 0.500 0.000 0.000
Be1 0.500 0.500 0.500
B1 0.000 0.202 0.798
B2 0.000 0.798 0.202
O1 0.169 0.797 0.365
O2 0.831 0.635 0.203
O3 0.669 0.365 0.797
O4 0.331 0.203 0.635
# * total magnetization: 0.9 μB/cell
# * E_form (uncorrected): -15.34 eV per formula unit

=====

(4)
# PBE Dy3FeCo8, optimized geometry
data_Dy3FeCo8
_chemical_formula_sum 'Dy3 Fe1 Co8'
_space_group_name_H-M_alt 'P 1'
_space_group_IT_number 1
_space_group_name_Hall 'P 1'
_cell_length_a 4.970
_cell_length_b 4.970
_cell_length_c 8.612
_cell_angle_alpha 73.23
_cell_angle_beta 73.23
_cell_angle_gamma 60.00
loop_
_atom_site_label
_atom_site_fract_x
_atom_site_fract_y
_atom_site_fract_z
Dy1 0.376 0.376 0.872
Dy2 0.993 0.993 0.020
Dy3 0.504 0.504 0.487
Fe1 0.871 0.871 0.386
Co1 0.934 0.436 0.194
Co2 0.445 0.938 0.678
Co3 0.436 0.436 0.194
Co4 0.938 0.938 0.678
Co5 0.189 0.189 0.434
Co6 0.688 0.688 0.935
Co7 0.436 0.934 0.194
Co8 0.938 0.445 0.678
# * total magnetization: 12.2 μB/cell
# * ΔH_f (0 K): -0.12 eV/atom

=====

What did the second record say?
# PBE Li3TePb, optimized geometry
data_Li3TePb
_chemical_formula_sum 'Li3 Te1 Pb1'
_space_group_name_H-M_alt 'P 1'
_space_group_IT_number 1
_space_group_name_Hall 'P 1'
_cell_length_a 5.165
_cell_length_b 5.165
_cell_length_c 5.165
_cell_angle_alpha 90.00
_cell_angle_beta 90.00
_cell_angle_gamma 90.00
loop_
_atom_site_label
_atom_site_fract_x
_atom_site_fract_y
_atom_site_fract_z
Pb1 0.500 0.500 0.500
Te1 0.000 0.000 0.000
Li1 0.000 0.500 0.000
Li2 0.000 0.000 0.500
Li3 0.500 0.000 0.000
# * total magnetization: 0.0 μB/cell
# * E_form (uncorrected): -1.56 eV per formula unit
# * ΔE to the lowest computed polymorph: 0.0 meV per atom

=====

> total magnetization of number 1 (RePb2Cl)?

0.0 μB/cell

=====

What did the third record say?
# PBE LiBeB2O4, optimized geometry
data_LiBeB2O4
_chemical_formula_sum 'Li1 Be1 B2 O4'
_space_group_name_H-M_alt 'P 1'
_space_group_IT_number 1
_space_group_name_Hall 'P 1'
_cell_length_a 4.472
_cell_length_b 4.931
_cell_length_c 4.931
_cell_angle_alpha 64.01
_cell_angle_beta 63.04
_cell_angle_gamma 63.04
loop_
_atom_site_label
_atom_site_fract_x
_atom_site_fract_y
_atom_site_fract_z
Li1 0.500 0.000 0.000
Be1 0.500 0.500 0.500
B1 0.000 0.202 0.798
B2 0.000 0.798 0.202
O1 0.169 0.797 0.365
O2 0.831 0.635 0.203
O3 0.669 0.365 0.797
O4 0.331 0.203 0.635
# * total magnetization: 0.9 μB/cell
# * E_form (uncorrected): -15.34 eV per formula unit